# Sr3V2GaO9, optimized geometry, DFT PBE+U
data_Sr3V2GaO9
_chemical_formula_sum 'Sr3 V2 Ga1 O9'
_space_group_name_H-M_alt 'P -3 m 1'
_space_group_IT_number 164
_space_group_name_Hall '-P 3 2"'
_cell_length_a 5.5269
_cell_length_b 5.5269
_cell_length_c 6.7334
_cell_angle_alpha 90.00
_cell_angle_beta 90.00
_cell_angle_gamma 120.00
loop_
_atom_site_label
_atom_site_fract_x
_atom_site_fract_y
_atom_site_fract_z
Sr1 0.0000 0.0000 0.0000
Sr2 0.3333 0.6667 0.6675
V1 0.3333 0.6667 0.1708
Ga1 0.0000 0.0000 0.5000
O1 0.0000 0.5000 0.0000
O2 0.1691 0.3382 0.3279
# D(E_F) in states/eV/atom: 0.14
# Total moment in Bohr magnetons per cell: 1.00
# E in eV for the cell shown: -103.52